Density functional theory data (PBE) for a geometry-optimized MnTlTe2 structure.

Cell lengths 4.129, 4.129, 7.368 Å; angles 90.00, 90.00, 90.00 degrees
Sites, in units of the cell vectors:
1 Te 0.000 0.000 0.857
2 Mn 0.500 0.500 0.925
3 Te 0.500 0.500 0.287
4 Tl 0.000 0.000 0.431

Calculated values
Raw formation energy = -0.05 eV per atom

***

Density functional theory data (PBE) for a geometry-optimized Na2CoAu structure.

Cell lengths 4.895, 4.895, 4.895 Å; angles 60.00, 60.00, 60.00 degrees
Sites, in units of the cell vectors:
1 Na 0.250 0.250 0.250
2 Na 0.750 0.750 0.750
3 Au 0.500 0.500 0.500
4 Co 0.000 0.000 0.000

Calculated values
Energy of formation = 476 meV/atom

***

Density functional theory data (PBE) for a geometry-optimized ZnCo3Si structure.

Cell lengths 4.152, 4.152, 4.152 Å; angles 90.00, 90.00, 90.00 degrees
Sites, in units of the cell vectors:
1 Zn 0.500 0.500 0.500
2 Si 0.000 0.000 0.000
3 Co 0.000 0.000 0.500
4 Co 0.500 0.000 0.000
5 Co 0.000 0.500 0.000

Calculated values
Raw formation energy = 0.52 eV per atom

***

Density functional theory data (PBE) for a geometry-optimized Sm8Ho2Tm structure.

Cell lengths 6.684, 10.259, 10.259 Å; angles 38.35, 59.64, 59.64 degrees
Sites, in units of the cell vectors:
1 Sm 0.726 0.593 0.593
2 Sm 0.828 0.244 0.244
3 Sm 0.172 0.756 0.756
4 Sm 0.228 0.349 0.825
5 Sm 0.772 0.651 0.175
6 Sm 0.274 0.407 0.407
7 Tm 0.000 0.000 0.000
8 Sm 0.228 0.825 0.349
9 Ho 0.410 0.197 0.197
10 Ho 0.590 0.803 0.803
11 Sm 0.772 0.175 0.651

Calculated values
Energy of formation = 173 meV/atom

***

Density functional theory data (PBE) for a geometry-optimized Ni2HgW structure.

Cell lengths 4.620, 4.620, 2.739 Å; angles 90.00, 90.00, 96.75 degrees
Sites, in units of the cell vectors:
1 Hg 0.000 0.500 0.500
2 Ni 0.000 0.000 0.000
3 W 0.500 0.000 0.500
4 Ni 0.500 0.500 0.000

Calculated values
Energy of formation = 388 meV/atom

***

Density functional theory data (PBE) for a geometry-optimized HfBeAg2 structure.

Cell lengths 3.871, 3.871, 9.933 Å; angles 78.76, 78.76, 90.00 degrees
Sites, in units of the cell vectors:
1 Hf 0.000 0.000 0.000
2 Ag 0.142 0.625 0.250
3 Ag 0.608 0.125 0.250
4 Be 0.500 0.500 0.000
5 Hf 0.750 0.250 0.500
6 Be 0.250 0.750 0.500
7 Ag 0.875 0.858 0.750
8 Ag 0.375 0.392 0.750

Calculated values
Energy of formation = 443 meV/atom

***

Density functional theory data (PBE) for a geometry-optimized Pr4Dy4Er structure.

Cell lengths 5.662, 8.985, 9.016 Å; angles 44.72, 71.66, 71.60 degrees
Sites, in units of the cell vectors:
1 Pr 0.132 0.692 0.043
2 Pr 0.868 0.308 0.957
3 Dy 0.071 0.230 0.627
4 Dy 0.379 0.573 0.669
5 Pr 0.719 0.847 0.714
6 Dy 0.621 0.427 0.331
7 Pr 0.281 0.153 0.286
8 Er 0.500 0.000 0.000
9 Dy 0.929 0.770 0.373

Calculated values
Energy of formation = 107 meV/atom

***

Density functional theory data (PBE) for a geometry-optimized MnAlSe2 structure.

Cell lengths 8.230, 8.230, 8.230 Å; angles 155.34, 156.04, 34.65 degrees
Sites, in units of the cell vectors:
1 Al 0.557 0.557 0.000
2 Mn 0.195 0.695 0.500
3 Se 0.744 0.244 0.500
4 Se 0.003 0.003 0.000

Calculated values
Raw formation energy = -0.25 eV per atom

***

For reference, Fermi-level density of states by record: 1.16; 2.17; 5.32; 17.74; 3.51; 5.99; 14.97; 1.51 states/eV/cell.